1.
A plane-wave DFT calculation with GGA-PBE was carried out for crystalline SmNpTe3 at its relaxed geometry.

For the total DFT energy (no corrections), the calculation gives -6.38 eV/atom. Its space group is No. 14. The energy above the most stable polymorph in this dataset comes out at 0.004 eV/atom. The formation energy from raw total energies comes out at -463 kJ/mol of formula units.

The structure in CIF format:
```
data_SmNpTe3
_chemical_formula_sum 'Sm4 Np4 Te12'
_symmetry_space_group_name_H-M 'P 1'
_symmetry_Int_Tables_number 1
_symmetry_space_group_name_Hall 'P 1'
_cell_length_a 7.5224
_cell_length_b 8.9611
_cell_length_c 11.5184
_cell_angle_alpha 122.95
_cell_angle_beta 90.00
_cell_angle_gamma 90.00
loop_
_atom_site_label
_atom_site_fract_x
_atom_site_fract_y
_atom_site_fract_z
Sm1 0.6984 0.9488 0.3478
Sm2 0.3016 0.0512 0.6522
Sm3 0.1984 0.5512 0.1522
Sm4 0.8016 0.4488 0.8478
Np1 0.2566 0.9948 0.0023
Np2 0.7434 0.0052 0.9977
Np3 0.7566 0.5052 0.4977
Np4 0.2434 0.4948 0.5023
Te1 0.5089 0.2018 0.2691
Te2 0.4911 0.7982 0.7309
Te3 0.0089 0.2982 0.2309
Te4 0.9911 0.7018 0.7691
Te5 0.9846 0.8120 0.1161
Te6 0.0154 0.1880 0.8839
Te7 0.4846 0.6880 0.3839
Te8 0.5154 0.3120 0.6161
Te9 0.4997 0.7280 0.0369
Te10 0.5003 0.2720 0.9631
Te11 0.9997 0.7720 0.4631
Te12 0.0003 0.2280 0.5369
```

2.
A plane-wave DFT calculation with GGA-PBE was carried out for crystalline Ce2BeCo4Ge3 at its relaxed geometry.

For the total DFT energy (no corrections), the calculation gives -6.27 eV/atom. Its space group is No. 115. The calculation puts the formation energy at -0.485 eV per atom.

The structure in CIF format:
```
data_Ce2BeCo4Ge3
_chemical_formula_sum 'Ce2 Be1 Co4 Ge3'
_symmetry_space_group_name_H-M 'P 1'
_symmetry_Int_Tables_number 1
_symmetry_space_group_name_Hall 'P 1'
_cell_length_a 3.9605
_cell_length_b 3.9605
_cell_length_c 9.9123
_cell_angle_alpha 90.00
_cell_angle_beta 90.00
_cell_angle_gamma 90.00
loop_
_atom_site_label
_atom_site_fract_x
_atom_site_fract_y
_atom_site_fract_z
Ce1 0.5000 0.0000 0.2624
Ce2 0.0000 0.5000 0.7376
Be1 0.5000 0.5000 0.5000
Co1 0.5000 0.5000 0.0000
Co2 0.0000 0.0000 0.0000
Co3 0.5000 0.0000 0.6292
Co4 0.0000 0.5000 0.3708
Ge1 0.0000 0.0000 0.5000
Ge2 0.5000 0.0000 0.8701
Ge3 0.0000 0.5000 0.1299
```

3.
A plane-wave DFT calculation with GGA-PBE was carried out for crystalline PmHo5Au6 at its relaxed geometry.

For the total DFT energy (no corrections), the calculation gives -4.80 eV/atom. Its space group is No. 10. The calculation puts the formation energy at -0.856 eV per atom.

The structure in CIF format:
```
data_PmHo5Au6
_chemical_formula_sum 'Pm1 Ho5 Au6'
_symmetry_space_group_name_H-M 'P 1'
_symmetry_Int_Tables_number 1
_symmetry_space_group_name_Hall 'P 1'
_cell_length_a 5.1094
_cell_length_b 7.1517
_cell_length_c 8.1033
_cell_angle_alpha 90.00
_cell_angle_beta 108.46
_cell_angle_gamma 90.00
loop_
_atom_site_label
_atom_site_fract_x
_atom_site_fract_y
_atom_site_fract_z
Au1 0.8303 0.7471 0.6587
Au2 0.8303 0.2529 0.6587
Au3 0.5000 0.2602 0.0000
Au4 0.5000 0.7398 0.0000
Au5 0.1697 0.7471 0.3413
Au6 0.1697 0.2529 0.3413
Ho1 0.6654 0.5000 0.3317
Ho2 0.3331 0.0000 0.6654
Ho3 0.0000 0.5000 0.0000
Ho4 0.6669 0.0000 0.3346
Ho5 0.3346 0.5000 0.6683
Pm1 0.0000 0.0000 0.0000
```